Sn2PdRh2: single point on PBEsol structure, SCAN.

Cell lengths 7.458, 7.458, 3.024 Å; angles 90.00, 90.00, 90.00 degrees
Space group P4/mbm (No. 127)
Inequivalent atoms, fractional coordinates:
Sn: 0.159 0.341 0.000 x4
Pd: 0.000 0.000 0.000 x2
Rh: 0.139 0.639 0.500 x4

Computed properties:
Final energy ... -34.77 eV/atom